MnSnMoP | PBE | optimized geometry

The structure in extended XYZ format:
```
4
Lattice="1.913 1.105 5.707 -1.913 1.105 5.707 0.000 -2.209 5.707" Properties=species:S:1:pos:R:3 pbc="T T T"
Mn 0.000 0.000 0.000
Sn 0.000 0.000 14.419
Mo 0.000 0.000 6.667
P 0.000 0.000 10.987
```

ΔE to the lowest computed polymorph in meV per atom: 249
Formation enthalpy at 0 K in eV per atom: 0.04
Symmetry: R3m (160)

Os2RhCl | PBE | optimized geometry

The structure in extended XYZ format:
```
4
Lattice="4.602 0.000 0.000 0.000 4.602 0.000 0.000 0.000 2.786" Properties=species:S:1:pos:R:3 pbc="T T T"
Os 0.000 2.301 0.000
Os 2.301 0.000 0.000
Rh 0.000 0.000 1.393
Cl 2.301 2.301 1.393
```

ΔE to the lowest computed polymorph in meV per atom: 811
Energy relative to the elements, uncorrected in kJ/mol of formula units: 481
Symmetry: P4/mmm (123)

Nb3MoOs | PBE | optimized geometry

The structure in extended XYZ format:
```
10
Lattice="6.724 0.000 0.000 -3.362 5.824 0.000 0.000 0.000 4.811" Properties=species:S:1:pos:R:3 pbc="T T T"
Nb -0.835 2.456 1.203
Nb -0.818 5.319 1.203
Nb 1.709 1.951 3.608
Nb 1.653 3.873 1.203
Nb 4.180 0.505 3.608
Nb 4.197 3.368 3.608
Mo 0.000 0.000 1.203
Mo 0.000 0.000 3.608
Os 0.000 3.882 3.608
Os 3.362 1.941 1.203
```

ΔE to the lowest computed polymorph in meV per atom: 271
Formation enthalpy at 0 K in eV per atom: 0.43
Symmetry: P6_3/m (176)

ScCd3Se | PBE | optimized geometry

The structure in extended XYZ format:
```
5
Lattice="5.592 0.000 0.000 0.000 5.592 0.000 0.000 0.000 5.592" Properties=species:S:1:pos:R:3 pbc="T T T"
Sc 0.000 0.000 0.000
Cd 0.000 0.000 2.796
Cd 0.000 2.796 0.000
Cd 2.796 0.000 0.000
Se 2.796 2.796 2.796
```

ΔE to the lowest computed polymorph in meV per atom: 184
Energy relative to the elements, uncorrected in kJ/mol of formula units: 319
Symmetry: Pm-3m (221)

K6Na10Tl | PBE | optimized geometry

The structure in extended XYZ format:
```
17
Lattice="11.336 0.000 0.000 -5.668 9.817 0.000 0.000 0.000 7.343" Properties=species:S:1:pos:R:3 pbc="T T T"
K -2.182 3.779 1.679
K -3.486 6.038 5.664
K 4.364 0.000 1.679
K 2.182 3.779 5.664
K 6.972 0.000 5.664
K 3.486 6.038 1.679
Na -1.231 2.132 5.245
Na -4.437 7.685 2.098
Na 2.462 0.000 5.245
Na 1.231 2.132 2.098
Na 0.000 6.545 0.000
Na 0.000 6.545 3.672
Na 5.668 3.272 0.000
Na 5.668 3.272 3.672
Na 8.874 0.000 2.098
Na 4.437 7.685 5.245
Tl 0.000 0.000 0.000
```

Formation enthalpy at 0 K in eV per atom: 0.04
Symmetry: P-31m (162)

RbZnSeBr2 | PBE | optimized geometry

The structure in extended XYZ format:
```
5
Lattice="5.547 0.000 0.000 0.000 5.547 0.000 0.000 0.000 4.943" Properties=species:S:1:pos:R:3 pbc="T T T"
Rb 0.000 0.000 0.000
Zn 2.773 2.773 2.471
Se 2.773 2.773 0.000
Br 0.000 2.773 2.471
Br 2.773 0.000 2.471
```

ΔE to the lowest computed polymorph in meV per atom: 0
Energy relative to the elements, uncorrected in kJ/mol of formula units: -372
Symmetry: P4/mmm (123)

CsHf3P | PBE | optimized geometry

The structure in extended XYZ format:
```
5
Lattice="5.052 0.000 0.000 0.000 5.052 0.000 0.000 0.000 5.052" Properties=species:S:1:pos:R:3 pbc="T T T"
Cs 0.000 0.000 0.000
Hf 0.000 2.526 2.526
Hf 2.526 0.000 2.526
Hf 2.526 2.526 0.000
P 2.526 2.526 2.526
```

ΔE to the lowest computed polymorph in meV per atom: 0
Formation enthalpy at 0 K in eV per atom: 0.55
Symmetry: Pm-3m (221)

K2UBr6Cl | PBE | optimized geometry

The structure in extended XYZ format:
```
10
Lattice="7.804 0.000 0.000 3.879 6.924 0.000 1.967 -0.927 8.828" Properties=species:S:1:pos:R:3 pbc="T T T"
K 0.000 0.000 0.000
K 4.621 2.915 5.498
U 3.651 2.368 1.179
Br 3.631 4.674 2.584
Br 2.186 1.228 3.108
Br 7.097 2.605 8.067
Br 5.615 -0.856 8.616
Br 5.917 1.630 2.494
Br 11.165 2.230 8.696
Cl 5.219 5.696 6.036
```

Energy relative to the elements, uncorrected in kJ/mol of formula units: -1388
Symmetry: P1 (1)

Pr2TlRh | PBE | optimized geometry

The structure in extended XYZ format:
```
4
Lattice="2.029 1.172 8.371 -2.029 1.172 8.371 0.000 -2.343 8.371" Properties=species:S:1:pos:R:3 pbc="T T T"
Pr 0.000 0.000 5.858
Pr 0.000 0.000 19.255
Tl 0.000 0.000 0.000
Rh 0.000 0.000 12.556
```

ΔE to the lowest computed polymorph in meV per atom: 38
Formation enthalpy at 0 K in eV per atom: -0.47
Symmetry: R-3m (166)

Y4Tl2TeSe | PBE | optimized geometry

The structure in extended XYZ format:
```
8
Lattice="7.077 0.000 0.000 0.000 4.074 0.000 -2.336 0.000 7.893" Properties=species:S:1:pos:R:3 pbc="T T T"
Y 1.109 0.000 1.806
Y -0.054 2.037 6.023
Y 4.795 2.037 1.870
Y 3.632 0.000 6.087
Tl -1.168 0.000 3.947
Tl 2.371 2.037 3.947
Te 3.539 0.000 0.000
Se 0.000 2.037 0.000
```

Energy relative to the elements, uncorrected in kJ/mol of formula units: -725
Symmetry: P2/m (10)

CaScAl | PBE | optimized geometry

The structure in extended XYZ format:
```
6
Lattice="3.483 0.000 0.000 0.000 3.483 0.000 0.000 0.000 12.620" Properties=species:S:1:pos:R:3 pbc="T T T"
Ca 0.000 0.000 2.679
Ca 0.000 0.000 9.941
Sc 0.000 0.000 6.310
Sc 1.742 1.742 0.000
Al 1.742 1.742 4.752
Al 1.742 1.742 7.868
```

ΔE to the lowest computed polymorph in meV per atom: 54
Formation enthalpy at 0 K in eV per atom: -0.13
Symmetry: P4/mmm (123)

AcGdAlIn | PBE | optimized geometry

The structure in extended XYZ format:
```
4
Lattice="0.000 3.888 3.888 3.888 0.000 3.888 3.888 3.888 0.000" Properties=species:S:1:pos:R:3 pbc="T T T"
Ac 0.000 0.000 0.000
Gd 3.888 3.888 3.888
Al 1.944 1.944 1.944
In 5.832 5.832 5.832
```

Formation enthalpy at 0 K in eV per atom: -0.33
Symmetry: F-43m (216)

Pt2PbCl | PBE | optimized geometry

The structure in extended XYZ format:
```
4
Lattice="3.627 0.000 0.000 0.000 3.627 0.000 0.000 0.000 7.570" Properties=species:S:1:pos:R:3 pbc="T T T"
Pt 0.000 0.000 0.000
Pt 1.813 1.813 0.534
Pb 1.813 1.813 5.323
Cl 0.000 0.000 3.718
```

ΔE to the lowest computed polymorph in meV per atom: 77
Energy relative to the elements, uncorrected in kJ/mol of formula units: -4
Symmetry: P4mm (99)

NaBrN2O | PBE | optimized geometry

The structure in extended XYZ format:
```
5
Lattice="4.676 0.000 0.000 0.000 4.676 0.000 0.000 0.000 4.454" Properties=species:S:1:pos:R:3 pbc="T T T"
Na 0.000 0.000 0.000
Br 2.338 2.338 2.227
N 0.000 2.338 0.000
N 2.338 0.000 0.000
O 0.000 0.000 2.227
```

Energy relative to the elements, uncorrected in kJ/mol of formula units: 1042
Symmetry: P4/mmm (123)

Ca2CdAgN | PBE | optimized geometry

The structure in extended XYZ format:
```
5
Lattice="4.849 0.000 0.000 0.000 4.849 0.000 0.000 0.000 4.613" Properties=species:S:1:pos:R:3 pbc="T T T"
Ca 0.000 2.425 0.000
Ca 2.425 0.000 0.000
Cd 0.000 0.000 2.307
Ag 2.425 2.425 2.307
N 0.000 0.000 0.000
```

ΔE to the lowest computed polymorph in meV per atom: 0
Energy relative to the elements, uncorrected in kJ/mol of formula units: -163
Symmetry: P4/mmm (123)

Cs3Pm3PuS8 | PBE | optimized geometry

The structure in extended XYZ format:
```
15
Lattice="4.155 2.399 8.213 -4.155 2.399 8.213 0.000 -4.798 8.213" Properties=species:S:1:pos:R:3 pbc="T T T"
Cs -2.078 -1.199 8.213
Cs -2.078 1.199 16.426
Cs 0.000 2.399 8.213
Pm -4.155 0.000 12.319
Pm -2.078 1.199 4.106
Pm 2.078 1.199 4.106
Pu 0.000 0.000 12.319
S 0.000 0.000 5.620
S -1.994 -1.151 13.774
S 0.000 -2.302 10.864
S -1.994 1.151 10.864
S 1.994 -1.151 13.774
S 0.000 2.302 13.774
S 1.994 1.151 10.864
S 0.000 0.000 19.019
```

Energy relative to the elements, uncorrected in kJ/mol of formula units: -2526
Symmetry: R-3m (166)

DyHg4 | PBE | optimized geometry

The structure in extended XYZ format:
```
10
Lattice="5.281 0.000 0.000 0.000 5.473 0.000 -0.023 0.000 9.291" Properties=species:S:1:pos:R:3 pbc="T T T"
Dy 0.000 0.000 0.000
Dy -0.011 2.736 4.645
Hg -0.012 0.024 6.144
Hg -0.001 2.712 1.499
Hg 2.620 0.902 7.874
Hg 2.632 1.834 3.229
Hg 2.626 3.638 6.062
Hg 2.638 4.571 1.417
Hg 5.259 2.761 7.792
Hg 5.270 5.449 3.146
```

ΔE to the lowest computed polymorph in meV per atom: 0
Formation enthalpy at 0 K in eV per atom: -0.22
Symmetry: P2_1/c (14)

Rb3Sc5I12 | PBE | optimized geometry

The structure in extended XYZ format:
```
80
Lattice="-9.607 9.607 9.607 9.607 -9.607 9.607 9.607 9.607 -9.607" Properties=species:S:1:pos:R:3 pbc="T T T"
Rb 4.804 2.402 0.000
Rb 9.607 4.804 -2.402
Rb 2.402 0.000 4.804
Rb 12.009 0.000 4.804
Rb 0.000 4.804 2.402
Rb 4.804 -2.402 9.607
Rb 4.804 12.009 0.000
Rb 9.607 4.804 7.205
Rb -2.402 9.607 4.804
Rb 7.205 9.607 4.804
Rb 0.000 4.804 12.009
Rb 4.804 7.205 9.607
Sc 0.000 0.000 0.000
Sc 4.804 4.804 -4.804
Sc 4.804 -4.804 4.804
Sc 9.607 0.000 0.000
Sc 14.411 2.402 0.000
Sc 9.607 -4.804 7.205
Sc 7.205 9.607 -4.804
Sc 7.205 0.000 4.804
Sc 4.804 7.205 0.000
Sc 9.607 4.804 2.402
Sc -4.804 4.804 4.804
Sc 0.000 9.607 0.000
Sc 0.000 0.000 9.607
Sc 4.804 4.804 4.804
Sc 0.000 4.804 7.205
Sc 4.804 2.402 9.607
Sc 2.402 9.607 4.804
Sc 2.402 0.000 14.411
Sc 0.000 14.411 2.402
Sc -4.804 7.205 9.607
I 2.766 -0.652 0.996
I 11.645 5.800 -5.455
I 12.373 0.652 0.996
I 11.645 -3.807 5.455
I 8.955 -0.996 2.766
I 15.062 -2.038 3.807
I 0.996 2.766 -0.652
I 13.414 4.152 -2.038
I 5.800 5.455 -2.038
I 8.611 2.766 0.652
I -0.652 0.996 2.766
I 5.455 -2.038 5.800
I 8.955 8.611 -2.766
I 5.455 2.038 3.807
I 5.800 -5.455 11.645
I 8.611 -2.766 8.955
I 3.807 5.455 2.038
I 10.603 6.841 0.652
I 5.455 11.645 -3.807
I 8.955 0.996 6.841
I 2.766 8.955 -0.996
I 11.645 3.807 4.152
I 2.038 3.807 5.455
I 2.766 0.652 8.611
I 6.841 8.955 0.996
I 7.569 5.800 4.152
I -2.038 5.800 5.455
I 6.841 0.652 10.603
I 0.652 8.611 2.766
I 4.152 -2.038 13.414
I -0.996 2.766 8.955
I 5.800 4.152 7.569
I 0.996 12.373 0.652
I 3.807 15.062 -2.038
I 4.152 7.569 5.800
I 0.652 0.996 12.373
I 4.152 11.645 3.807
I 10.259 8.611 6.841
I 0.996 6.841 8.955
I 3.807 4.152 11.645
I -3.807 5.455 11.645
I 8.611 6.841 10.259
I -5.455 11.645 5.800
I 0.652 10.603 6.841
I -2.038 13.414 4.152
I -2.766 8.955 8.611
I -2.038 3.807 15.062
I 6.841 10.259 8.611
```

Energy relative to the elements, uncorrected in kJ/mol of formula units: -1927
Symmetry: Ia-3d (230)

SiIrSe2S | PBE | optimized geometry

The structure in extended XYZ format:
```
5
Lattice="4.942 0.000 0.000 0.000 4.942 0.000 0.000 0.000 4.622" Properties=species:S:1:pos:R:3 pbc="T T T"
Si 0.000 0.000 0.000
Ir 0.000 0.000 2.311
Se 0.000 2.471 2.311
Se 2.471 0.000 2.311
S 2.471 2.471 0.000
```

Energy relative to the elements, uncorrected in kJ/mol of formula units: 343
Symmetry: P4/mmm (123)

Er8CdAg2 | PBE | optimized geometry

The structure in extended XYZ format:
```
11
Lattice="7.934 -2.622 0.000 7.934 2.622 0.000 -4.144 0.000 7.153" Properties=species:S:1:pos:R:3 pbc="T T T"
Er 0.126 0.000 1.596
Er -0.619 0.000 4.982
Er 2.770 0.000 3.872
Er 6.199 0.000 0.278
Er 5.525 0.000 6.874
Er 8.954 0.000 3.281
Er 12.343 0.000 2.171
Er 11.598 0.000 5.556
Cd 5.862 0.000 3.576
Ag 3.043 0.000 0.862
Ag 8.681 0.000 6.291
```

ΔE to the lowest computed polymorph in meV per atom: 0
Formation enthalpy at 0 K in eV per atom: -0.13
Symmetry: C2/m (12)

MgScTc4 | PBE | optimized geometry

The structure in extended XYZ format:
```
6
Lattice="0.000 3.697 3.697 3.697 0.000 3.697 3.697 3.697 0.000" Properties=species:S:1:pos:R:3 pbc="T T T"
Mg 0.000 0.000 0.000
Sc 5.545 5.545 5.545
Tc 2.771 2.771 2.771
Tc 4.623 4.623 2.771
Tc 4.623 2.771 4.623
Tc 2.771 4.623 4.623
```

Formation enthalpy at 0 K in eV per atom: -0.06
Symmetry: F-43m (216)

LaMgSc2 | PBE | optimized geometry

The structure in extended XYZ format:
```
4
Lattice="3.428 0.000 0.000 0.000 4.631 0.000 0.000 0.000 6.873" Properties=species:S:1:pos:R:3 pbc="T T T"
La 0.000 0.000 0.000
Mg 1.714 2.316 1.859
Sc 0.000 0.000 3.485
Sc 1.714 2.316 5.006
```

Formation enthalpy at 0 K in eV per atom: 0.04
Symmetry: Pmm2 (25)